First-principles (PBE) data for NaMg6Hg12 after structural relaxation, as listed in Alexandria.

```
data_NaMg6Hg12
_chemical_formula_sum 'Na3 Mg18 Hg36'
_cell_length_a 13.4729
_cell_length_b 13.4729
_cell_length_c 8.3693
_cell_angle_alpha 90.00
_cell_angle_beta 90.00
_cell_angle_gamma 120.00
_space_group_name_H-M_alt 'R -3'
_space_group_IT_number 148
_space_group_name_Hall '-R 3'
loop_
_atom_site_label
_atom_site_type_symbol
_atom_site_fract_x
_atom_site_fract_y
_atom_site_fract_z
Na1 Na 0.0000 0.0000 0.0000
Mg1 Mg 0.0209 0.2644 0.3083
Hg1 Hg 0.0036 0.1395 0.6601
Hg2 Hg 0.0653 0.5694 0.6868
```

energy above the lowest structure with this stoichiometry = 0 meV per atom
formation enthalpy at 0 K = -0.132 eV/atom